The following is a PBE calculation of an optimized crystal structure of NaTlAg2, from OQMD via LeMat-Bulk.

Summary:
- total DFT energy (no corrections) (eV per atom) = -2.328

Cell lengths 6.955, 6.955, 6.955 Å; angles 90.00, 90.00, 90.00 degrees
Space group F-43m (No. 216)
Unique sites:
Na: 0.000 0.000 0.000 [4 per cell]
Tl: 0.250 0.250 0.750 [4 per cell]
Ag: 0.000 0.000 0.500 [4 per cell]
Ag: 0.250 0.250 0.250 [4 per cell]


The following is a PBE calculation of an optimized crystal structure of Na3PaS, from OQMD via LeMat-Bulk.

Summary:
- total DFT energy (no corrections) (eV per atom) = -3.013

Cell lengths 5.353, 5.353, 5.353 Å; angles 90.00, 90.00, 90.00 degrees
Space group Pm-3m (No. 221)
Unique sites:
Na: 0.000 0.000 0.500 [3 per cell]
Pa: 0.500 0.500 0.500 [1 per cell]
S: 0.000 0.000 0.000 [1 per cell]


The following is a PBE calculation of an optimized crystal structure of DyHoEr2Mg2, from OQMD via LeMat-Bulk.

Summary:
- total DFT energy (no corrections) (eV per atom) = -3.624

Cell lengths 5.433, 3.631, 17.126 Å; angles 90.00, 90.00, 90.00 degrees
Space group Amm2 (No. 38)
Unique sites:
Dy: 0.000 0.000 0.000 [2 per cell]
Ho: 0.500 0.000 0.812 [2 per cell]
Er: 0.000 0.000 0.680 [2 per cell]
Er: 0.500 0.000 0.133 [2 per cell]
Mg: 0.000 0.000 0.341 [2 per cell]
Mg: 0.500 0.000 0.471 [2 per cell]


The following is a PBE calculation of an optimized crystal structure of LuNiSn2, from OQMD via LeMat-Bulk.

Summary:
- total DFT energy (no corrections) (eV per atom) = -4.605

Cell lengths 7.023, 7.023, 7.023 Å; angles 90.00, 90.00, 90.00 degrees
Space group F-43m (No. 216)
Unique sites:
Lu: 0.000 0.000 0.000 [4 per cell]
Ni: 0.250 0.250 0.250 [4 per cell]
Sn: 0.000 0.000 0.500 [4 per cell]
Sn: 0.250 0.250 0.750 [4 per cell]


The following is a PBE calculation of an optimized crystal structure of SrAcFe, from OQMD via LeMat-Bulk.

Summary:
- total DFT energy (no corrections) (eV per atom) = -4.128

Cell lengths 7.375, 7.375, 7.375 Å; angles 90.00, 90.00, 90.00 degrees
Space group F-43m (No. 216)
Unique sites:
Sr: 0.000 0.000 0.000 [4 per cell]
Ac: 0.000 0.000 0.500 [4 per cell]
Fe: 0.250 0.250 0.250 [4 per cell]


The following is a PBE calculation of an optimized crystal structure of Hf2AgIr, from OQMD via LeMat-Bulk.

Summary:
- total DFT energy (no corrections) (eV per atom) = -8.095

Cell lengths 6.572, 6.572, 6.572 Å; angles 90.00, 90.00, 90.00 degrees
Space group F-43m (No. 216)
Unique sites:
Hf: 0.000 0.000 0.000 [4 per cell]
Hf: 0.250 0.250 0.250 [4 per cell]
Ag: 0.000 0.000 0.500 [4 per cell]
Ir: 0.250 0.250 0.750 [4 per cell]